# 1
First-principles (PBE) data for crystalline TbCe2Pr at its relaxed geometry, as listed in the Alexandria database.

Computed properties:
Fermi-level density of states, states/eV/f.u.: 10.34
Formation energy, eV per atom: 0.227
SG: R-3m
Offset from the most stable computed form, meV per atom: 118.0

Lattice parameters (Å, degrees): 3.4156 3.4156 12.5447 82.18 82.18 60.00
Each line ends with the local moment (μB).
Atoms (fractional coordinates):
Pr: 0.0000 0.0000 0.0000  -0.03
Tb: 0.5000 0.5000 0.5000  -0.01
Ce: 0.0879 0.0879 0.7362  0.59
Ce: 0.9121 0.9121 0.2638  0.59

# 2
First-principles (PBE) data for crystalline KFe2N2 at its relaxed geometry, as listed in the Alexandria database.

Computed properties:
Fermi-level density of states, states/eV/f.u.: 2.82
SG: I4/mmm
Offset from the most stable computed form, meV per atom: 0.0
Formation energy (no corrections), eV per atom: -0.173

Lattice parameters (Å, degrees): 3.3804 3.3804 6.2502 105.69 105.69 90.00
Atoms (fractional coordinates):
K: 0.0000 0.0000 0.0000
Fe: 0.7500 0.2500 0.5000
Fe: 0.2500 0.7500 0.5000
N: 0.6738 0.6738 0.3475
N: 0.3262 0.3262 0.6525

# 3
First-principles (PBE) data for crystalline Ac4Si2H at its relaxed geometry, as listed in the Alexandria database.

Computed properties:
Fermi-level density of states, states/eV/f.u.: 4.91
SG: P2_1/m
Offset from the most stable computed form, meV per atom: 0.0

Lattice parameters (Å, degrees): 7.0289 7.2900 8.9890 90.00 108.68 90.00
Atoms (fractional coordinates):
Ac: 0.5035 0.4959 0.2534
Ac: 0.0647 0.7500 0.8985
Ac: 0.9353 0.2500 0.1015
Ac: 0.5035 0.0041 0.2534
Ac: 0.9390 0.2500 0.6167
Ac: 0.4965 0.9959 0.7466
Ac: 0.4965 0.5041 0.7466
Ac: 0.0610 0.7500 0.3833
Si: 0.7188 0.7500 0.0540
Si: 0.2812 0.2500 0.9460
Si: 0.2714 0.2500 0.4420
Si: 0.7286 0.7500 0.5580
H: 0.2542 0.7500 0.1890
H: 0.7458 0.2500 0.8110

# 4
First-principles (PBE) data for crystalline Y2Al3Ni2 at its relaxed geometry, as listed in the Alexandria database.

Computed properties:
Fermi-level density of states, states/eV/f.u.: 5.96
Formation energy, eV per atom: -0.599
SG: C2/m

Lattice parameters (Å, degrees): 4.0567 5.5002 6.9097 115.30 90.00 111.64
Atoms (fractional coordinates):
Y: 0.8591 0.7182 0.2215
Y: 0.1409 0.2818 0.7785
Al: 0.5000 0.0000 0.0000
Al: 0.6430 0.2861 0.4389
Al: 0.3570 0.7139 0.5611
Ni: 0.8667 0.7335 0.7910
Ni: 0.1333 0.2665 0.2090

# 5
First-principles (PBE) data for crystalline Pr2Nd3Ho8 at its relaxed geometry, as listed in the Alexandria database.

Computed properties:
Fermi-level density of states, states/eV/f.u.: 16.35
Formation energy, eV per atom: 0.232
SG: C2/m
Offset from the most stable computed form, meV per atom: 0.0

Lattice parameters (Å, degrees): 6.9974 9.5450 9.5448 57.70 60.93 60.93
Atoms (fractional coordinates):
Pr: 0.4771 0.2216 0.2217
Pr: 0.5229 0.7784 0.7783
Nd: 0.5000 0.0000 0.0000
Nd: 0.0000 0.1774 0.8226
Nd: 0.0000 0.8226 0.1774
Ho: 0.0760 0.5794 0.5794
Ho: 0.9240 0.4206 0.4206
Ho: 0.0098 0.1927 0.1927
Ho: 0.9902 0.8073 0.8073
Ho: 0.5669 0.5620 0.1999
Ho: 0.5669 0.1999 0.5620
Ho: 0.4331 0.8001 0.4380
Ho: 0.4331 0.4380 0.8001

# 6
First-principles (PBE) data for crystalline SrCrCl3 at its relaxed geometry, as listed in the Alexandria database.

Computed properties:
Fermi-level density of states, states/eV/f.u.: 1.66
SG: Pm-3m
Offset from the most stable computed form, meV per atom: 0.0
Formation energy (no corrections), eV per atom: -1.257

Lattice parameters (Å, degrees): 5.0452 5.0452 5.0452 90.00 90.00 90.00
Each line ends with the local moment (μB).
Atoms (fractional coordinates):
Sr: 0.5000 0.5000 0.5000  0.01
Cl: 0.0000 0.5000 0.0000  0.01
Cl: 0.0000 0.0000 0.5000  0.01
Cl: 0.5000 0.0000 0.0000  0.01
Cr: 0.0000 0.0000 0.0000  4.08

# 7
First-principles (PBE) data for crystalline Y2AlAs at its relaxed geometry, as listed in the Alexandria database.

Computed properties:
Fermi-level density of states, states/eV/f.u.: 3.37
Formation energy, eV per atom: -0.635
SG: C2/m
Offset from the most stable computed form, meV per atom: 245.7

Lattice parameters (Å, degrees): 7.4420 5.1191 3.6197 89.54 61.62 123.98
Atoms (fractional coordinates):
Y: 0.0000 0.0000 0.0000
Y: 0.5000 0.0000 0.5000
As: 0.5000 0.5000 0.0000
Al: 0.0000 0.5000 0.5000

# 8
First-principles (PBE) data for crystalline PuH12Rh4 at its relaxed geometry, as listed in the Alexandria database.

Computed properties:
Fermi-level density of states, states/eV/f.u.: 12.20
SG: Im-3
DFT total energy, eV per atom: -5.00

Lattice parameters (Å, degrees): 5.8774 5.8774 5.8774 109.47 109.47 109.47
Each line ends with the local moment (μB).
Atoms (fractional coordinates):
Pu: 0.0000 0.0000 0.0000  4.90
H: 0.7730 0.2966 0.0696  0.00
H: 0.2966 0.5237 0.2270  0.00
H: 0.9304 0.2270 0.7034  0.00
H: 0.2966 0.0696 0.7730  0.00
H: 0.0696 0.7730 0.2966  0.00
H: 0.7034 0.4763 0.7730  0.00
H: 0.5237 0.2270 0.2966  0.00
H: 0.4763 0.7730 0.7034  0.00
H: 0.7034 0.9304 0.2270  0.00
H: 0.7730 0.7034 0.4763  0.00
H: 0.2270 0.2966 0.5237  0.00
H: 0.2270 0.7034 0.9304  0.00
Rh: 0.0000 0.5000 0.0000  0.06
Rh: 0.5000 0.0000 0.0000  0.06
Rh: 0.5000 0.5000 0.5000  0.06
Rh: 0.0000 0.0000 0.5000  0.06

# 9
First-principles (PBE) data for crystalline AcPm2SmY at its relaxed geometry, as listed in the Alexandria database.

Computed properties:
Fermi-level density of states, states/eV/f.u.: 8.61
Formation energy, eV per atom: 0.040
SG: P2_1/m

Lattice parameters (Å, degrees): 5.9372 6.4930 9.9322 70.81 90.00 90.00
Atoms (fractional coordinates):
Ac: 0.7500 0.5672 0.2001
Ac: 0.2500 0.4328 0.7999
Pm: 0.7500 0.7721 0.7981
Pm: 0.2500 0.2279 0.2019
Pm: 0.2500 0.0391 0.5953
Pm: 0.7500 0.9609 0.4047
Sm: 0.7500 0.3596 0.5989
Sm: 0.2500 0.6404 0.4011
Y: 0.2500 0.8385 0.9988
Y: 0.7500 0.1615 0.0012

# 10
First-principles (PBE) data for crystalline Sr5TlSe6 at its relaxed geometry, as listed in the Alexandria database.

Computed properties:
Fermi-level density of states, states/eV/f.u.: 5.88
SG: C2/m
Formation energy (no corrections), eV per atom: -1.725

Lattice parameters (Å, degrees): 7.7113 7.7113 7.7016 99.60 99.60 120.00
Atoms (fractional coordinates):
Sr: 0.8358 0.1642 0.5000
Sr: 0.6673 0.3327 0.0000
Sr: 0.5000 0.5000 0.5000
Sr: 0.3327 0.6673 0.0000
Sr: 0.1642 0.8358 0.5000
Tl: 0.0000 0.0000 0.0000
Se: 0.4187 0.0844 0.2518
Se: 0.9156 0.5813 0.7482
Se: 0.2523 0.2523 0.7499
Se: 0.7477 0.7477 0.2501
Se: 0.0844 0.4187 0.2518
Se: 0.5813 0.9156 0.7482

# 11
First-principles (PBE) data for crystalline AlAs2OsSe at its relaxed geometry, as listed in the Alexandria database.

Computed properties:
Fermi-level density of states, states/eV/f.u.: 4.84
SG: P4/mmm
Offset from the most stable computed form, meV per atom: 0.0
Formation energy (no corrections), eV per atom: 0.616

Lattice parameters (Å, degrees): 4.6559 4.6559 5.5418 90.00 90.00 90.00
Atoms (fractional coordinates):
As: 0.0000 0.5000 0.0000
As: 0.5000 0.0000 0.0000
Os: 0.0000 0.0000 0.0000
Al: 0.5000 0.5000 0.5000
Se: 0.0000 0.0000 0.5000

# 12
First-principles (PBE) data for crystalline Ce4IrOsCl2 at its relaxed geometry, as listed in the Alexandria database.

Computed properties:
Fermi-level density of states, states/eV/f.u.: 21.21
SG: P2/m
Formation energy (no corrections), eV per atom: -1.009

Lattice parameters (Å, degrees): 4.0534 7.0280 7.7241 107.65 90.00 90.00
Each line ends with the local moment (μB).
Atoms (fractional coordinates):
Ce: 0.5000 0.2316 0.2071  0.66
Ce: 0.5000 0.7684 0.7929  0.66
Ce: 0.0000 0.2609 0.7933  0.71
Ce: 0.0000 0.7391 0.2067  0.71
Ir: 0.5000 0.5000 0.0000  -0.06
Os: 0.0000 0.0000 0.0000  -0.12
Cl: 0.5000 0.0000 0.5000  -0.01
Cl: 0.0000 0.5000 0.5000  -0.01

# 13
First-principles (PBE) data for crystalline Ba2LiRh at its relaxed geometry, as listed in the Alexandria database.

Computed properties:
Fermi-level density of states, states/eV/f.u.: 4.46
Formation energy, eV per atom: 0.056
SG: P4mm

Lattice parameters (Å, degrees): 3.8276 3.8276 8.7550 90.00 90.00 90.01
Atoms (fractional coordinates):
Ba: 0.0000 0.0000 0.9058
Ba: 0.5000 0.5000 0.3423
Li: 0.0000 0.0000 0.5809
Rh: 0.5000 0.5000 0.6709

# 14
First-principles (PBE) data for crystalline ThB4Ru4 at its relaxed geometry, as listed in the Alexandria database.

Computed properties:
Fermi-level density of states, states/eV/f.u.: 2.29
Formation energy, eV per atom: -0.551
SG: I4_1/acd
Offset from the most stable computed form, meV per atom: 0.0

Lattice parameters (Å, degrees): 9.3118 9.3118 9.3118 132.02 132.02 70.19
Atoms (fractional coordinates):
Th: 0.2500 0.2500 0.0000
Th: 0.7500 0.7500 0.0000
Th: 0.5000 0.0000 0.5000
Th: 0.0000 0.5000 0.5000
B: 0.2283 0.9153 0.9787
B: 0.7283 0.7496 0.3130
B: 0.1653 0.9783 0.4787
B: 0.6653 0.1866 0.1870
B: 0.5217 0.3347 0.5213
B: 0.0217 0.5004 0.1870
B: 0.5847 0.2717 0.0213
B: 0.0847 0.0634 0.3130
B: 0.4366 0.4153 0.6870
B: 0.9366 0.2496 0.0213
B: 0.9996 0.4783 0.8130
B: 0.4996 0.6866 0.5213
B: 0.3134 0.8347 0.8130
B: 0.8134 0.0004 0.4787
B: 0.7504 0.7717 0.6870
B: 0.2504 0.5634 0.9787
Ru: 0.5430 0.0741 0.2399
Ru: 0.0430 0.8032 0.4689
Ru: 0.3241 0.2930 0.7399
Ru: 0.8241 0.0842 0.0311
Ru: 0.2070 0.1759 0.2601
Ru: 0.7070 0.4468 0.0311
Ru: 0.4259 0.9570 0.7601
Ru: 0.9259 0.1658 0.4689
Ru: 0.3342 0.5741 0.5311
Ru: 0.8342 0.3032 0.7601
Ru: 0.0532 0.7930 0.9689
Ru: 0.5532 0.5842 0.2601
Ru: 0.4158 0.6759 0.9689
Ru: 0.9158 0.9468 0.7399
Ru: 0.6968 0.4570 0.5311
Ru: 0.1968 0.6658 0.2399

# 15
First-principles (PBE) data for crystalline Dy8Mg2Rh at its relaxed geometry, as listed in the Alexandria database.

Computed properties:
Fermi-level density of states, states/eV/f.u.: 10.58
Formation energy, eV per atom: -0.140
SG: C2/m

Lattice parameters (Å, degrees): 5.4973 7.0141 9.1119 110.30 107.56 90.00
Atoms (fractional coordinates):
Dy: 0.3988 0.5928 0.7976
Dy: 0.6446 0.9254 0.2892
Dy: 0.8074 0.7493 0.6148
Dy: 0.9855 0.2249 0.9709
Dy: 0.1926 0.2507 0.3852
Dy: 0.3554 0.0746 0.7108
Dy: 0.6012 0.4072 0.2024
Dy: 0.0145 0.7751 0.0291
Mg: 0.8159 0.3073 0.6318
Mg: 0.1841 0.6927 0.3682
Rh: 0.5000 0.0000 0.0000

# 16
First-principles (PBE) data for crystalline POs2W at its relaxed geometry, as listed in the Alexandria database.

Computed properties:
Fermi-level density of states, states/eV/f.u.: 2.71
Formation energy, eV per atom: 0.011
SG: Amm2

Lattice parameters (Å, degrees): 5.3601 5.3601 3.9019 90.00 90.00 149.24
Atoms (fractional coordinates):
P: 0.3044 0.6956 0.0000
Os: 0.0748 0.9252 0.0000
Os: 0.4324 0.5676 0.5000
W: 0.7008 0.2992 0.5000

# 17
First-principles (PBE) data for crystalline AgI2Cl6 at its relaxed geometry, as listed in the Alexandria database.

Computed properties:
Fermi-level density of states, states/eV/f.u.: 3.60
SG: C2/c
Offset from the most stable computed form, meV per atom: 33.8
Formation energy (no corrections), eV per atom: -0.165

Lattice parameters (Å, degrees): 7.8927 9.7237 9.7237 90.87 71.69 71.69
Atoms (fractional coordinates):
Ag: 0.2500 0.9988 0.0012
Ag: 0.7500 0.0012 0.9988
I: 0.3561 0.5675 0.7203
I: 0.1439 0.2797 0.4325
I: 0.6439 0.4325 0.2797
I: 0.8561 0.7203 0.5675
Cl: 0.4062 0.6920 0.4826
Cl: 0.0938 0.5174 0.3080
Cl: 0.5938 0.3080 0.5174
Cl: 0.9062 0.4826 0.6920
Cl: 0.8233 0.9266 0.4312
Cl: 0.6767 0.5688 0.0734
Cl: 0.1767 0.0734 0.5688
Cl: 0.3233 0.4312 0.9266
Cl: 0.1112 0.8438 0.8888
Cl: 0.3888 0.1112 0.1562
Cl: 0.8888 0.1562 0.1112
Cl: 0.6112 0.8888 0.8438

# 18
First-principles (PBE) data for crystalline NdPdAu2 at its relaxed geometry, as listed in the Alexandria database.

Computed properties:
Fermi-level density of states, states/eV/f.u.: 1.93
Formation energy, eV per atom: -0.705
SG: Cmcm
Offset from the most stable computed form, meV per atom: 0.0

Lattice parameters (Å, degrees): 4.3401 5.5273 7.6873 90.00 90.00 113.13
Atoms (fractional coordinates):
Nd: 0.0747 0.1489 0.2500
Nd: 0.9253 0.8511 0.7500
Pd: 0.7807 0.5614 0.2500
Pd: 0.2193 0.4386 0.7500
Au: 0.3684 0.7367 0.0548
Au: 0.3684 0.7367 0.4452
Au: 0.6316 0.2633 0.9452
Au: 0.6316 0.2633 0.5548

# 19
First-principles (PBE) data for crystalline Sr2ReTe at its relaxed geometry, as listed in the Alexandria database.

Computed properties:
Fermi-level density of states, states/eV/f.u.: 3.59
SG: I-42d
Offset from the most stable computed form, meV per atom: 204.3
Formation energy (no corrections), eV per atom: 0.326

Lattice parameters (Å, degrees): 11.4172 11.4172 8.4622 47.58 47.58 90.00
Atoms (fractional coordinates):
Re: 0.0000 0.0000 0.0000
Re: 0.7500 0.2500 0.5000
Te: 0.5000 0.5000 0.0000
Te: 0.2500 0.7500 0.5000
Sr: 0.8028 0.1250 0.2500
Sr: 0.9472 0.6250 0.2500
Sr: 0.3750 0.1972 0.7500
Sr: 0.8750 0.0528 0.7500

# 20
First-principles (PBE) data for crystalline HoLuPaSn at its relaxed geometry, as listed in the Alexandria database.

Computed properties:
Fermi-level density of states, states/eV/f.u.: 6.70
Formation energy, eV per atom: 0.030
SG: F-43m

Lattice parameters (Å, degrees): 5.2893 5.2893 5.2893 60.00 60.00 60.00
Each line ends with the local moment (μB).
Atoms (fractional coordinates):
Pa: 0.5000 0.5000 0.5000  0.70
Lu: 0.2500 0.2500 0.2500  0.21
Ho: 0.7500 0.7500 0.7500  0.20
Sn: 0.0000 0.0000 0.0000  -0.03

# 21
First-principles (PBE) data for crystalline TiGa2Ge2 at its relaxed geometry, as listed in the Alexandria database.

Computed properties:
Fermi-level density of states, states/eV/f.u.: 4.17
Formation energy, eV per atom: 0.076
SG: P4/mbm
Offset from the most stable computed form, meV per atom: 81.0

Lattice parameters (Å, degrees): 6.9922 6.9922 3.6123 90.00 90.00 90.00
Atoms (fractional coordinates):
Ge: 0.1699 0.6699 0.5000
Ge: 0.6699 0.8301 0.5000
Ge: 0.8301 0.3301 0.5000
Ge: 0.3301 0.1699 0.5000
Ga: 0.3671 0.8671 0.0000
Ga: 0.8671 0.6329 0.0000
Ga: 0.6329 0.1329 0.0000
Ga: 0.1329 0.3671 0.0000
Ti: 0.0000 0.0000 0.0000
Ti: 0.5000 0.5000 0.0000

# 22
First-principles (PBE) data for crystalline ReTe2Au at its relaxed geometry, as listed in the Alexandria database.

Computed properties:
Fermi-level density of states, states/eV/f.u.: 2.53
SG: Fm-3m
Offset from the most stable computed form, meV per atom: 453.5
Formation energy (no corrections), eV per atom: 0.725

Lattice parameters (Å, degrees): 4.8657 4.8657 4.8657 60.00 60.00 60.00
Atoms (fractional coordinates):
Re: 0.0000 0.0000 0.0000
Te: 0.2500 0.2500 0.2500
Te: 0.7500 0.7500 0.7500
Au: 0.5000 0.5000 0.5000

# 23
First-principles (PBE) data for crystalline LiZn2Re at its relaxed geometry, as listed in the Alexandria database.

Computed properties:
Fermi-level density of states, states/eV/f.u.: 1.84
Formation energy, eV per atom: 0.281
SG: Immm
Offset from the most stable computed form, meV per atom: 291.8

Lattice parameters (Å, degrees): 5.1317 5.1317 5.1317 149.11 128.25 61.50
Atoms (fractional coordinates):
Li: 0.7500 0.2500 0.5000
Re: 0.2500 0.7500 0.5000
Zn: 0.9849 0.9849 0.0000
Zn: 0.5151 0.5151 0.0000